# 1
This record from Alexandria describes a relaxed MgTaSi2 crystal. The functional is PBE.

a = 4.825 Å, b = 4.825 Å, c = 4.825 Å
α = 131.32°, β = 131.16°, γ = 71.42°
Sites, in units of the cell vectors:
Si 0.500 0.500 0.000
Ta 0.750 0.250 0.500
Mg 0.250 0.750 0.500
Si 0.000 0.000 0.000

Symmetry = Immm
Formation energy without anion corrections = -0.013 eV/atom


# 2
This record from Alexandria describes a relaxed Cr3PbSe crystal. The functional is PBE.

a = 4.434 Å, b = 4.434 Å, c = 4.434 Å
α = 90.00°, β = 90.00°, γ = 90.00°
Sites, in units of the cell vectors:
Pb 0.500 0.500 0.500
Cr 0.500 0.000 0.000
Cr 0.000 0.500 0.000
Se 0.000 0.000 0.000
Cr 0.000 0.000 0.500

Symmetry = Pm-3m
Formation energy without anion corrections = 0.956 eV/atom
Energy relative to the lowest polymorph listed for this composition = 0 meV per atom


# 3
This record from Alexandria describes a relaxed U3SbC crystal. The functional is PBE.

a = 4.674 Å, b = 4.674 Å, c = 4.674 Å
α = 90.00°, β = 90.00°, γ = 90.00°
Each line ends with the local moment (μB).
Sites, in units of the cell vectors:
C 0.000 0.000 0.000  -0.05
Sb 0.500 0.500 0.500  -0.03
U 0.000 0.000 0.500  1.16
U 0.500 0.000 0.000  1.16
U 0.000 0.500 0.000  1.16

Symmetry = Pm-3m
Formation energy without anion corrections = -0.116 eV/atom
Energy relative to the lowest polymorph listed for this composition = 0 meV per atom


# 4
This record from Alexandria describes a relaxed ZrHOs2F crystal. The functional is PBE.

a = 3.636 Å, b = 5.043 Å, c = 3.636 Å
α = 90.00°, β = 90.00°, γ = 90.00°
Sites, in units of the cell vectors:
Os 0.000 0.000 0.500
H 0.000 0.000 0.000
Os 0.500 0.000 0.000
Zr 0.000 0.500 0.000
F 0.500 0.500 0.500

Symmetry = P4/mmm
Energy = -7.354 eV per atom


# 5
This record from Alexandria describes a relaxed Zn2SbIr crystal. The functional is PBE.

a = 4.840 Å, b = 3.167 Å, c = 4.618 Å
α = 94.12°, β = 90.00°, γ = 90.00°
Sites, in units of the cell vectors:
Zn 0.000 0.014 0.018
Zn 0.000 0.486 0.482
Ir 0.500 0.250 0.250
Sb 0.500 0.750 0.750

Symmetry = P2/m
Formation energy without anion corrections = 0.131 eV/atom
Energy relative to the lowest polymorph listed for this composition = 155 meV per atom


# 6
This record from Alexandria describes a relaxed NaLaN2O crystal. The functional is PBE.

a = 4.924 Å, b = 4.924 Å, c = 4.501 Å
α = 90.00°, β = 90.00°, γ = 90.00°
Each line ends with the local moment (μB).
Sites, in units of the cell vectors:
Na 0.500 0.500 0.500  -0.01
N 0.000 0.500 0.000  1.17
O 0.000 0.000 0.500  0.34
La 0.000 0.000 0.000  0.13
N 0.500 0.000 0.000  1.17

Symmetry = P4/mmm
Formation energy without anion corrections = 0.081 eV/atom